{"formula": "Pm2TmIn", "functional": "PBE-GGA", "state": "relaxed", "cell": [[4.876, 0.000, 0.000], [0.000, 4.876, 0.000], [0.000, 0.000, 4.951]], "species": ["Pm", "Pm", "Tm", "In"], "frac_coords": [[0.000, 0.500, 0.000], [0.500, 0.000, 0.000], [0.000, 0.000, 0.500], [0.500, 0.500, 0.500]], "magmom_total_mub_per_cell": 0.001, "de_polymorph_kj_per_mol_fu": 0, "e_form_ev_per_atom": -0.2679, "dos_at_fermi_per_ev_cell": 5.5, "crystal_system": "tetragonal"}